Entry 1:
A plane-wave DFT calculation with PBE was carried out for crystalline Na2CuTe5 at its relaxed geometry.

Formation energy (no corrections) (eV per atom): -0.308
Space-group type: Cm
Mass density (g/cm³): 4.8

Cell: 6.510 6.510 6.220 Å, 94.06 94.06 81.56°
Element x y z (fractional)
Na (0.000, 0.000, 0.000)
Na (0.569, 0.569, 0.689)
Cu (0.318, 0.318, 0.933)
Te (0.029, 0.510, 0.204)
Te (0.060, 0.564, 0.700)
Te (0.510, 0.029, 0.204)
Te (0.554, 0.554, 0.193)
Te (0.564, 0.060, 0.700)



Entry 2:
A plane-wave DFT calculation with PBE was carried out for crystalline Cs12Tl3F5 at its relaxed geometry.

Formation energy (no corrections) (eV per atom): -1.244
Space-group type: Ia-3d
Mass density (g/cm³): 3.8

Cell: 17.422 17.422 17.422 Å, 109.47 109.47 109.47°
Element x y z (fractional)
Cs (0.008, 0.192, 0.110)
Cs (0.008, 0.316, 0.898)
Cs (0.082, 0.692, 0.684)
Cs (0.082, 0.890, 0.398)
Cs (0.102, 0.610, 0.418)
Cs (0.102, 0.992, 0.684)
Cs (0.110, 0.008, 0.192)
Cs (0.110, 0.602, 0.918)
Cs (0.184, 0.192, 0.582)
Cs (0.184, 0.492, 0.602)
Cs (0.192, 0.110, 0.008)
Cs (0.192, 0.582, 0.184)
Cs (0.308, 0.316, 0.918)
Cs (0.308, 0.492, 0.390)
Cs (0.316, 0.898, 0.008)
Cs (0.316, 0.918, 0.308)
Cs (0.390, 0.308, 0.492)
Cs (0.390, 0.582, 0.898)
Cs (0.398, 0.082, 0.890)
Cs (0.398, 0.816, 0.508)
Cs (0.418, 0.102, 0.610)
Cs (0.418, 0.816, 0.808)
Cs (0.492, 0.390, 0.308)
Cs (0.492, 0.602, 0.184)
Cs (0.508, 0.398, 0.816)
Cs (0.508, 0.610, 0.692)
Cs (0.582, 0.184, 0.192)
Cs (0.582, 0.898, 0.390)
Cs (0.602, 0.184, 0.492)
Cs (0.602, 0.918, 0.110)
Cs (0.610, 0.418, 0.102)
Cs (0.610, 0.692, 0.508)
Cs (0.684, 0.082, 0.692)
Cs (0.684, 0.102, 0.992)
Cs (0.692, 0.508, 0.610)
Cs (0.692, 0.684, 0.082)
Cs (0.808, 0.418, 0.816)
Cs (0.808, 0.890, 0.992)
Cs (0.816, 0.508, 0.398)
Cs (0.816, 0.808, 0.418)
Cs (0.890, 0.398, 0.082)
Cs (0.890, 0.992, 0.808)
Cs (0.898, 0.008, 0.316)
Cs (0.898, 0.390, 0.582)
Cs (0.918, 0.110, 0.602)
Cs (0.918, 0.308, 0.316)
Cs (0.992, 0.684, 0.102)
Cs (0.992, 0.808, 0.890)
Tl (0.125, 0.250, 0.375)
Tl (0.125, 0.375, 0.750)
Tl (0.250, 0.375, 0.125)
Tl (0.250, 0.875, 0.625)
Tl (0.375, 0.125, 0.250)
Tl (0.375, 0.750, 0.125)
Tl (0.625, 0.250, 0.875)
Tl (0.625, 0.875, 0.750)
Tl (0.750, 0.125, 0.375)
Tl (0.750, 0.625, 0.875)
Tl (0.875, 0.625, 0.250)
Tl (0.875, 0.750, 0.625)
F (0.000, 0.000, 0.000)
F (0.000, 0.000, 0.500)
F (0.000, 0.500, 0.000)
F (0.000, 0.500, 0.500)
F (0.125, 0.750, 0.875)
F (0.125, 0.875, 0.250)
F (0.250, 0.125, 0.875)
F (0.250, 0.625, 0.375)
F (0.375, 0.250, 0.625)
F (0.375, 0.625, 0.750)
F (0.500, 0.000, 0.000)
F (0.500, 0.000, 0.500)
F (0.500, 0.500, 0.000)
F (0.500, 0.500, 0.500)
F (0.625, 0.375, 0.250)
F (0.625, 0.750, 0.375)
F (0.750, 0.375, 0.625)
F (0.750, 0.875, 0.125)
F (0.875, 0.125, 0.750)
F (0.875, 0.250, 0.125)



Entry 3:
A plane-wave DFT calculation with PBE was carried out for crystalline Pr2ZnGa3Ni4 at its relaxed geometry.

Formation energy from the elements (eV per atom): -0.4936
Space-group type: P-4m2
Mass density (g/cm³): 7.6

Cell: 4.227 4.227 9.715 Å, 90.00 90.00 90.00°
Element x y z (fractional)
Pr (0.000, 0.500, 0.244)
Pr (0.500, 0.000, 0.756)
Zn (0.000, 0.000, 0.500)
Ga (0.000, 0.500, 0.879)
Ga (0.500, 0.000, 0.121)
Ga (0.500, 0.500, 0.500)
Ni (0.000, 0.000, 0.000)
Ni (0.000, 0.500, 0.630)
Ni (0.500, 0.000, 0.370)
Ni (0.500, 0.500, 0.000)



One value per record, in order, for N(E_F): 2.99 12.62 8.29 states/eV/f.u..